A plane-wave DFT calculation with PBE was carried out for a relaxed ScRh2AuC crystal.

Volume ... 14.7 Å³ per atom
Energy ... -7.05 eV/atom
Space group ... P4/mmm
ΔE_f ... -0.34 eV/atom

Cell lengths 4.0678, 4.0678, 4.4566 Å; angles 90.00, 90.00, 90.00 degrees
Positions (direct):
Sc (0.0000, 0.0000, 0.0000)
Rh (0.0000, 0.5000, 0.5000)
Rh (0.5000, 0.0000, 0.5000)
Au (0.5000, 0.5000, 0.0000)
C (0.0000, 0.0000, 0.5000)